Below is Co2ReHIr after structural relaxation, with properties calculated at the PBE level.

Energy above the lowest structure with this stoichiometry in eV/atom: 0.0332
Volume in Å³/cell: 52.9
VASP energy in eV per atom: -7.6413

abc: 3.7678 3.7678 3.7268
angles: 90.00 90.00 90.00
Positions (direct):
Co (0.0000, 0.5000, 0.0000)
Co (0.5000, 0.0000, 0.0000)
Re (0.0000, 0.0000, 0.5000)
H (0.5000, 0.5000, 0.0000)
Ir (0.5000, 0.5000, 0.5000)